Model i:
# ScNiPb2 (PBEsol, optimized geometry)
# SG: I4/mmm
# Crystal system: tetragonal
data_ScNiPb2
_chemical_formula_sum 'Sc1 Ni1 Pb2'
_cell_length_a 4.8723
_cell_length_b 4.8723
_cell_length_c 4.8723
_cell_angle_alpha 119.83
_cell_angle_beta 119.83
_cell_angle_gamma 90.30
_symmetry_space_group_name_H-M 'P 1'
_symmetry_Int_Tables_number 1
loop_
_symmetry_equiv_pos_as_xyz
'x,y,z'
loop_
_atom_site_label
_atom_site_fract_x
_atom_site_fract_y
_atom_site_fract_z
_atom_site_occupancy
Sc1 0.0000 0.0000 0.0000 1
Ni1 0.5000 0.5000 0.0000 1
Pb1 0.2500 0.7500 0.5000 1
Pb2 0.7500 0.2500 0.5000 1



Model ii:
# ScNiPb2 (PBEsol, optimized geometry)
# SG: Cmmm
# Crystal system: orthorhombic
data_ScNiPb2
_chemical_formula_sum 'Sc1 Ni1 Pb2'
_cell_length_a 3.4348
_cell_length_b 3.4348
_cell_length_c 7.1701
_cell_angle_alpha 90.00
_cell_angle_beta 90.00
_cell_angle_gamma 101.47
_symmetry_space_group_name_H-M 'P 1'
_symmetry_Int_Tables_number 1
loop_
_symmetry_equiv_pos_as_xyz
'x,y,z'
loop_
_atom_site_label
_atom_site_fract_x
_atom_site_fract_y
_atom_site_fract_z
_atom_site_occupancy
Sc1 0.0000 0.0000 0.0000 1
Ni1 0.0000 0.0000 0.5000 1
Pb1 0.5000 0.5000 0.2824 1
Pb2 0.5000 0.5000 0.7176 1



It is model i that is the least stable of them.



Model i:
# TcNiPb2 (PBEsol, optimized geometry)
# SG: P2/m
# Crystal system: monoclinic
data_TcNiPb2
_chemical_formula_sum 'Tc1 Ni1 Pb2'
_cell_length_a 3.3653
_cell_length_b 3.3647
_cell_length_c 6.2629
_cell_angle_alpha 90.00
_cell_angle_beta 90.11
_cell_angle_gamma 90.00
_symmetry_space_group_name_H-M 'P 1'
_symmetry_Int_Tables_number 1
loop_
_symmetry_equiv_pos_as_xyz
'x,y,z'
loop_
_atom_site_label
_atom_site_fract_x
_atom_site_fract_y
_atom_site_fract_z
_atom_site_occupancy
Tc1 0.0000 0.0000 0.0000 1
Ni1 0.0000 0.0000 0.5000 1
Pb1 0.4994 0.5000 0.7468 1
Pb2 0.5006 0.5000 0.2532 1



Model ii:
# TcNiPb2 (PBEsol, optimized geometry)
# SG: Fm-3m
# Crystal system: cubic
data_TcNiPb2
_chemical_formula_sum 'Tc1 Ni1 Pb2'
_cell_length_a 4.6673
_cell_length_b 4.6673
_cell_length_c 4.6673
_cell_angle_alpha 60.00
_cell_angle_beta 60.00
_cell_angle_gamma 60.00
_symmetry_space_group_name_H-M 'P 1'
_symmetry_Int_Tables_number 1
loop_
_symmetry_equiv_pos_as_xyz
'x,y,z'
loop_
_atom_site_label
_atom_site_fract_x
_atom_site_fract_y
_atom_site_fract_z
_atom_site_occupancy
Tc1 0.0000 0.0000 0.0000 1
Ni1 0.5000 0.5000 0.5000 1
Pb1 0.2500 0.2500 0.2500 1
Pb2 0.7500 0.7500 0.7500 1



It is model ii that is the least stable of them.



Model i:
# YNiPb2 (PBEsol, optimized geometry)
# SG: I-4m2
# Crystal system: tetragonal
data_YNiPb2
_chemical_formula_sum 'Y1 Ni1 Pb2'
_cell_length_a 5.6684
_cell_length_b 5.6684
_cell_length_c 5.6684
_cell_angle_alpha 134.98
_cell_angle_beta 134.98
_cell_angle_gamma 65.57
_symmetry_space_group_name_H-M 'P 1'
_symmetry_Int_Tables_number 1
loop_
_symmetry_equiv_pos_as_xyz
'x,y,z'
loop_
_atom_site_label
_atom_site_fract_x
_atom_site_fract_y
_atom_site_fract_z
_atom_site_occupancy
Y1 0.0000 0.0000 0.0000 1
Ni1 0.7500 0.2500 0.5000 1
Pb1 0.2500 0.7500 0.5000 1
Pb2 0.5000 0.5000 0.0000 1



Model ii:
# YNiPb2 (PBEsol, optimized geometry)
# SG: Cmmm
# Crystal system: orthorhombic
data_YNiPb2
_chemical_formula_sum 'Y1 Ni1 Pb2'
_cell_length_a 3.4162
_cell_length_b 3.4162
_cell_length_c 7.5291
_cell_angle_alpha 90.00
_cell_angle_beta 90.00
_cell_angle_gamma 95.97
_symmetry_space_group_name_H-M 'P 1'
_symmetry_Int_Tables_number 1
loop_
_symmetry_equiv_pos_as_xyz
'x,y,z'
loop_
_atom_site_label
_atom_site_fract_x
_atom_site_fract_y
_atom_site_fract_z
_atom_site_occupancy
Y1 0.0000 0.0000 0.0000 1
Ni1 0.0000 0.0000 0.5000 1
Pb1 0.5000 0.5000 0.2937 1
Pb2 0.5000 0.5000 0.7063 1



It is model ii that is the least stable of them.



Model i:
# Ni7Pt5 (PBEsol, optimized geometry)
# SG: P2/m
# Crystal system: monoclinic
data_Ni7Pt5
_chemical_formula_sum 'Ni7 Pt5'
_cell_length_a 7.5249
_cell_length_b 2.6649
_cell_length_c 7.9590
_cell_angle_alpha 90.00
_cell_angle_beta 110.58
_cell_angle_gamma 90.00
_symmetry_space_group_name_H-M 'P 1'
_symmetry_Int_Tables_number 1
loop_
_symmetry_equiv_pos_as_xyz
'x,y,z'
loop_
_atom_site_label
_atom_site_fract_x
_atom_site_fract_y
_atom_site_fract_z
_atom_site_occupancy
Ni1 0.0000 0.0000 0.0000 1
Ni2 0.9998 0.0000 0.3037 1
Ni3 0.0002 0.0000 0.6963 1
Ni4 0.2370 0.5000 0.2369 1
Ni5 0.2379 0.5000 0.9210 1
Ni6 0.7621 0.5000 0.0790 1
Ni7 0.7630 0.5000 0.7631 1
Pt1 0.2160 0.5000 0.5719 1
Pt2 0.4985 0.0000 0.1643 1
Pt3 0.5000 0.0000 0.5000 1
Pt4 0.5015 0.0000 0.8357 1
Pt5 0.7840 0.5000 0.4281 1



Model ii:
# Ni7Pt5 (PBEsol, optimized geometry)
# SG: C222
# Crystal system: orthorhombic
data_Ni7Pt5
_chemical_formula_sum 'Ni7 Pt5'
_cell_length_a 4.5172
_cell_length_b 4.5172
_cell_length_c 7.8764
_cell_angle_alpha 90.00
_cell_angle_beta 90.00
_cell_angle_gamma 110.26
_symmetry_space_group_name_H-M 'P 1'
_symmetry_Int_Tables_number 1
loop_
_symmetry_equiv_pos_as_xyz
'x,y,z'
loop_
_atom_site_label
_atom_site_fract_x
_atom_site_fract_y
_atom_site_fract_z
_atom_site_occupancy
Ni1 0.0000 0.0000 0.0000 1
Ni2 0.0000 0.0000 0.3398 1
Ni3 0.0000 0.0000 0.6602 1
Ni4 0.0000 0.5000 0.5028 1
Ni5 0.0000 0.5000 0.8292 1
Ni6 0.5000 0.0000 0.1708 1
Ni7 0.5000 0.0000 0.4972 1
Pt1 0.0000 0.5000 0.1697 1
Pt2 0.5000 0.0000 0.8303 1
Pt3 0.5000 0.5000 0.0000 1
Pt4 0.5000 0.5000 0.3376 1
Pt5 0.5000 0.5000 0.6624 1



It is model i that is the least stable of them.



Model i:
# Ni7Pt5 (PBEsol, optimized geometry)
# SG: Pm
# Crystal system: monoclinic
data_Ni7Pt5
_chemical_formula_sum 'Ni7 Pt5'
_cell_length_a 7.2546
_cell_length_b 2.6569
_cell_length_c 7.8094
_cell_angle_alpha 90.00
_cell_angle_beta 90.53
_cell_angle_gamma 90.00
_symmetry_space_group_name_H-M 'P 1'
_symmetry_Int_Tables_number 1
loop_
_symmetry_equiv_pos_as_xyz
'x,y,z'
loop_
_atom_site_label
_atom_site_fract_x
_atom_site_fract_y
_atom_site_fract_z
_atom_site_occupancy
Ni1 0.0000 0.0000 0.0000 1
Ni2 0.0034 0.0000 0.6549 1
Ni3 0.2610 0.5000 0.4971 1
Ni4 0.5035 0.0000 0.6520 1
Ni5 0.5107 0.0000 0.3395 1
Ni6 0.7418 0.5000 0.4959 1
Ni7 0.7530 0.5000 0.1696 1
Pt1 0.2459 0.5000 0.8176 1
Pt2 0.2544 0.5000 0.1723 1
Pt3 0.5139 0.0000 0.0010 1
Pt4 0.7655 0.5000 0.8198 1
Pt5 0.9903 0.0000 0.3385 1



Model ii:
# Ni7Pt5 (PBEsol, optimized geometry)
# SG: P1
# Crystal system: triclinic
data_Ni7Pt5
_chemical_formula_sum 'Ni7 Pt5'
_cell_length_a 5.2254
_cell_length_b 5.8145
_cell_length_c 5.8150
_cell_angle_alpha 72.31
_cell_angle_beta 63.73
_cell_angle_gamma 76.96
_symmetry_space_group_name_H-M 'P 1'
_symmetry_Int_Tables_number 1
loop_
_symmetry_equiv_pos_as_xyz
'x,y,z'
loop_
_atom_site_label
_atom_site_fract_x
_atom_site_fract_y
_atom_site_fract_z
_atom_site_occupancy
Ni1 0.0000 0.0000 0.0000 1
Ni2 0.0798 0.3179 0.1797 1
Ni3 0.2415 0.9991 0.5154 1
Ni4 0.3250 0.3222 0.6770 1
Ni5 0.4155 0.6568 0.8420 1
Ni6 0.7524 0.9971 0.5081 1
Ni7 0.8362 0.3197 0.6729 1
Pt1 0.1586 0.6589 0.3378 1
Pt2 0.4920 0.0029 0.9919 1
Pt3 0.5844 0.3139 0.1809 1
Pt4 0.6540 0.6614 0.3595 1
Pt5 0.9271 0.6590 0.8400 1



It is model i that is the least stable of them.